Record 1
## TeH3Br (PBE-GGA)

Data for an optimized crystal structure of TeH3Br.

a b c (Å): 4.019 4.019 4.019
angles (deg): 90.00 90.00 90.00
Space group Pm-3m (No. 221)
Symmetry-distinct sites (fractional):
Te1 0.000 0.000 0.000 [1 per cell]
H1 0.000 0.000 0.500 [3 per cell]
Br1 0.500 0.500 0.500 [1 per cell]

Computed properties:
excess energy over the best structure of this formula in the dataset = 385 meV per atom
D(E_F) = 0.3 states/eV/cell

Record 2
## TeH3Br (PBE-GGA)

Data for an optimized crystal structure of TeH3Br.

a b c (Å): 5.7896 5.7896 10.0216
angles (deg): 90.00 90.00 120.00
Space group R3m (No. 160, hexagonal axes)
Symmetry-distinct sites (fractional):
Te1 0.0000 0.0000 0.0000 [3 per cell]
H1 0.1917 0.3834 0.5691 [9 per cell]
Br1 0.0000 0.0000 0.4355 [3 per cell]

Computed properties:
excess energy over the best structure of this formula in the dataset = 0 meV per atom
D(E_F) = 0.0 states/eV/cell

Record 3
## TlTeH2Br8 (PBE-GGA)

Data for an optimized crystal structure of TlTeH2Br8.

a b c (Å): 7.075 7.447 8.262
angles (deg): 90.96 90.19 90.70
Space group P-1 (No. 2)
Symmetry-distinct sites (fractional):
Tl1 0.000 0.000 0.000 [1 per cell]
Te1 0.000 0.000 0.500 [1 per cell]
H1 0.253 0.315 0.782 [2 per cell]
Br1 0.211 0.823 0.725 [2 per cell]
Br2 0.233 0.295 0.532 [2 per cell]
Br3 0.239 0.858 0.271 [2 per cell]
Br4 0.271 0.332 0.965 [2 per cell]

Computed properties:
VASP energy = -2.47 eV/atom
D(E_F) = 4.1 states/eV/cell

Record 4
## UTeHBr (PBE-GGA)

Data for an optimized crystal structure of UTeHBr.

a b c (Å): 3.9200 3.9200 22.8704
angles (deg): 90.00 90.00 120.00
Space group R3m (No. 160, hexagonal axes)
Symmetry-distinct sites (fractional):
U1 0.0000 0.0000 0.0000 [3 per cell]
Te1 0.0000 0.0000 0.7556 [3 per cell]
H1 0.0000 0.0000 0.3321 [3 per cell]
Br1 0.0000 0.0000 0.5811 [3 per cell]

Computed properties:
VASP energy = -5.66 eV/atom
D(E_F) = 8.3 states/eV/cell

Record 5
## TeH2WBr (PBE-GGA)

Data for an optimized crystal structure of TeH2WBr.

a b c (Å): 3.913 3.913 5.626
angles (deg): 90.00 90.00 90.00
Space group P4/mmm (No. 123)
Symmetry-distinct sites (fractional):
Te1 0.000 0.000 0.000 [1 per cell]
H1 0.000 0.500 0.500 [2 per cell]
W1 0.500 0.500 0.000 [1 per cell]
Br1 0.500 0.500 0.500 [1 per cell]

Computed properties:
VASP energy = -3.78 eV/atom
D(E_F) = 3.0 states/eV/cell

Record 6
## ThHBr3 (PBE-GGA)

Data for an optimized crystal structure of ThHBr3.

a b c (Å): 13.357 13.357 4.508
angles (deg): 90.00 90.00 90.00
Space group P4_2/mnm (No. 136)
Symmetry-distinct sites (fractional):
Th1 0.122 0.122 0.000 [4 per cell]
H1 0.110 0.110 0.500 [4 per cell]
Br1 0.099 0.901 0.000 [4 per cell]
Br2 0.104 0.324 0.000 [8 per cell]

Computed properties:
VASP energy = -4.42 eV/atom
D(E_F) = 0.0 states/eV/cell

Record 7
## Th2H2Br7 (PBE-GGA)

Data for an optimized crystal structure of Th2H2Br7.

a b c (Å): 3.821 16.491 12.286
angles (deg): 90.00 90.00 90.00
Space group Imm2 (No. 44)
Symmetry-distinct sites (fractional):
Th1 0.000 0.179 0.000 [4 per cell]
H1 0.000 0.000 0.684 [2 per cell]
H2 0.000 0.500 0.907 [2 per cell]
Br1 0.000 0.000 0.977 [2 per cell]
Br2 0.000 0.182 0.513 [4 per cell]
Br3 0.000 0.345 0.319 [4 per cell]
Br4 0.000 0.366 0.673 [4 per cell]

Computed properties:
VASP energy = -3.96 eV/atom
D(E_F) = 3.9 states/eV/cell

Record 8
## ThH2Br5 (PBE-GGA)

Data for an optimized crystal structure of ThH2Br5.

a b c (Å): 4.050 26.257 10.138
angles (deg): 90.00 90.00 90.00
Space group Cmcm (No. 63)
Symmetry-distinct sites (fractional):
Th1 0.000 0.160 0.250 [4 per cell]
H1 0.000 0.090 0.713 [8 per cell]
Br1 0.000 0.060 0.113 [8 per cell]
Br2 0.000 0.251 0.750 [4 per cell]
Br3 0.000 0.342 0.531 [8 per cell]

Computed properties:
VASP energy = -3.70 eV/atom